Computed, not measured: a geometry-optimized Pa2SbOs structure at the GGA-PBE level of DFT.

Values from the calculation:
Size of the total moment, μB/f.u.: 0.0
Formation energy from raw total energies, eV/atom: -0.452
DOS at the Fermi energy, states/eV per cell: 11.773

Cell: 4.0386 4.0386 22.0400 Å, 90.00 90.00 120.00°
With the nearest neighbours (Å) after each atom.
Fractional positions:
Pa (0.0000, 0.0000, 0.2360)  3 Os 2.79
Pa (0.0000, 0.0000, 0.7640)  3 Os 2.79
Pa (0.3333, 0.6667, 0.4307)  3 Os 2.79
Pa (0.3333, 0.6667, 0.9027)  3 Os 2.79
Pa (0.6667, 0.3333, 0.0973)  3 Os 2.79
Pa (0.6667, 0.3333, 0.5693)  3 Os 2.79
Sb (0.0000, 0.0000, 0.0000)  6 Pa 3.17
Sb (0.3333, 0.6667, 0.6667)  6 Pa 3.17
Sb (0.6667, 0.3333, 0.3333)  6 Pa 3.17
Os (0.0000, 0.0000, 0.5000)  6 Pa 2.79
Os (0.3333, 0.6667, 0.1667)  6 Pa 2.79
Os (0.6667, 0.3333, 0.8333)  6 Pa 2.79